Material: LaSi2TcIr
Method: DFT, PBE
State: optimized geometry

CIF file:
```
data_LaSi2TcIr
_chemical_formula_sum 'La2 Si4 Tc2 Ir2'
_cell_length_a 4.262
_cell_length_b 4.262
_cell_length_c 9.988
_cell_angle_alpha 90.00
_cell_angle_beta 90.00
_cell_angle_gamma 90.00
_space_group_name_H-M_alt 'I -4 m 2'
_space_group_IT_number 119
_space_group_name_Hall 'I -4 -2'
loop_
_atom_site_label
_atom_site_fract_x
_atom_site_fract_y
_atom_site_fract_z
La1 0.000 0.000 0.000
Si1 0.000 0.000 0.365
Tc1 0.000 0.500 0.750
Ir1 0.000 0.500 0.250
```

Summary:
**Calculated volume**: 181 Å³ per cell
**Magnetization**: 0.00 μB/atom
**Crystal system**: tetragonal
**Electronic total energy**: -7.883 eV per atom